[1]
Computed, not measured: a geometry-optimized SrZn2Ga6 structure at the GGA-PBE level of DFT.

a = 4.8610 Å, b = 4.8610 Å, c = 7.7354 Å
α = 90.00°, β = 90.00°, γ = 90.00°
Fractional positions:
Sr 0.0000 0.0000 0.0000
Zn 0.5000 0.5000 0.1581
Zn 0.5000 0.5000 0.8419
Ga 0.0000 0.5000 0.3133
Ga 0.5000 0.0000 0.3133
Ga 0.0000 0.5000 0.6867
Ga 0.5000 0.0000 0.6867
Ga 0.5000 0.5000 0.5000
Ga 0.0000 0.0000 0.5000

- calculated total energy (eV per atom) = -2.671
- energy relative to the elements (eV per atom) = -0.18

---

[2]
Computed, not measured: a geometry-optimized Sr2ZnGa2 structure at the GGA-PBE level of DFT.

a = 3.8745 Å, b = 3.8745 Å, c = 10.0636 Å
α = 78.90°, β = 78.90°, γ = 90.00°
Fractional positions:
Sr 0.3989 0.3989 0.2022
Sr 0.6011 0.6011 0.7978
Zn 0.0000 0.0000 0.0000
Ga 0.7500 0.2500 0.5000
Ga 0.2500 0.7500 0.5000

- calculated total energy (eV per atom) = -2.273
- energy relative to the elements (eV per atom) = -0.14

---

[3]
Computed, not measured: a geometry-optimized Sr2ZnGa2 structure at the GGA-PBE level of DFT.

a = 8.3433 Å, b = 8.3433 Å, c = 4.1635 Å
α = 90.00°, β = 90.00°, γ = 90.00°
Fractional positions:
Sr 0.1867 0.6867 0.5000
Sr 0.6867 0.8133 0.5000
Sr 0.8133 0.3133 0.5000
Sr 0.3133 0.1867 0.5000
Zn 0.0000 0.0000 0.0000
Zn 0.5000 0.5000 0.0000
Ga 0.3902 0.8902 0.0000
Ga 0.8902 0.6098 0.0000
Ga 0.6098 0.1098 0.0000
Ga 0.1098 0.3902 0.0000

- calculated total energy (eV per atom) = -2.348
- energy relative to the elements (eV per atom) = -0.21

---

[4]
Computed, not measured: a geometry-optimized Sr3ZnGa4 structure at the GGA-PBE level of DFT.

a = 5.1707 Å, b = 5.2909 Å, c = 9.5173 Å
α = 106.14°, β = 105.76°, γ = 90.00°
Fractional positions:
Sr 0.2042 0.2042 0.4085
Sr 0.7958 0.7958 0.5915
Sr 0.0000 0.5000 0.0000
Zn 0.5000 0.0000 0.0000
Ga 0.3788 0.6196 0.7576
Ga 0.6212 0.3804 0.2424
Ga 0.6212 0.8619 0.2424
Ga 0.3788 0.1381 0.7576

- calculated total energy (eV per atom) = -2.561
- energy relative to the elements (eV per atom) = -0.26

---

[5]
Computed, not measured: a geometry-optimized Sr4ZnGa3 structure at the GGA-PBE level of DFT.

a = 4.7722 Å, b = 4.4962 Å, c = 11.8167 Å
α = 90.00°, β = 90.00°, γ = 90.00°
Fractional positions:
Sr 0.5000 0.5000 0.3603
Sr 0.0000 0.5000 0.8551
Sr 0.0000 0.0000 0.1441
Sr 0.5000 0.0000 0.6432
Zn 0.5000 0.5000 0.0555
Ga 0.0000 0.5000 0.5615
Ga 0.0000 0.0000 0.4398
Ga 0.5000 0.0000 0.9404

- calculated total energy (eV per atom) = -2.480
- energy relative to the elements (eV per atom) = -0.35

---

[6]
Computed, not measured: a geometry-optimized SrZn3Ga3 structure at the GGA-PBE level of DFT.

a = 4.3082 Å, b = 9.9418 Å, c = 9.9443 Å
α = 120.04°, β = 90.00°, γ = 90.00°
Fractional positions:
Sr 0.7500 0.3335 0.6668
Sr 0.2500 0.6665 0.3332
Zn 0.7500 0.7207 0.1247
Zn 0.7500 0.4039 0.2793
Zn 0.7500 0.8753 0.5960
Zn 0.2500 0.2793 0.8753
Zn 0.2500 0.5961 0.7207
Zn 0.2500 0.1247 0.4040
Ga 0.7500 0.9679 0.3881
Ga 0.7500 0.4199 0.0321
Ga 0.7500 0.6121 0.5800
Ga 0.2500 0.0321 0.6119
Ga 0.2500 0.5801 0.9679
Ga 0.2500 0.3879 0.4200

- calculated total energy (eV per atom) = -2.131
- energy relative to the elements (eV per atom) = -0.05

---

[7]
Computed, not measured: a geometry-optimized Sr3ZnGa3 structure at the GGA-PBE level of DFT.

a = 4.7618 Å, b = 6.1563 Å, c = 14.8237 Å
α = 86.80°, β = 80.76°, γ = 67.25°
Fractional positions:
Sr 0.5479 0.2906 0.6137
Sr 0.4521 0.7094 0.3863
Sr 0.2428 0.2827 0.2317
Sr 0.7572 0.7173 0.7683
Sr 0.3939 0.2894 0.9228
Sr 0.6061 0.7106 0.0772
Zn 0.7480 0.1080 0.3960
Zn 0.2520 0.8920 0.6040
Ga 0.8708 0.7183 0.5402
Ga 0.1292 0.2817 0.4598
Ga 0.0975 0.8835 0.9215
Ga 0.9025 0.1165 0.0785
Ga 0.9456 0.8763 0.2324
Ga 0.0544 0.1237 0.7676

- calculated total energy (eV per atom) = -2.586
- energy relative to the elements (eV per atom) = -0.39

---

[8]
Computed, not measured: a geometry-optimized Sr8Zn2Ga structure at the GGA-PBE level of DFT.

a = 5.6989 Å, b = 7.9478 Å, c = 10.5512 Å
α = 107.00°, β = 105.67°, γ = 90.00°
Fractional positions:
Sr 0.4080 0.5571 0.8159
Sr 0.6685 0.9686 0.3370
Sr 0.7950 0.6775 0.5900
Sr 0.9658 0.1999 0.9317
Sr 0.2050 0.3225 0.4100
Sr 0.3315 0.0314 0.6630
Sr 0.5920 0.4429 0.1841
Sr 0.0342 0.8001 0.0683
Zn 0.8163 0.2891 0.6325
Zn 0.1837 0.7109 0.3675
Ga 0.5000 0.0000 0.0000

- calculated total energy (eV per atom) = -1.837
- energy relative to the elements (eV per atom) = -0.11